Ag2PtS3: relaxed, PBE.

Computed properties:
space group = Cc, No. 9
total magnetic moment = 0.0 μB/f.u.
calculated total energy = -47.83 eV/cell
crystal system = monoclinic

extended XYZ file:
```
12
Lattice="3.451 -6.060 0.000 3.451 6.060 0.000 -2.658 0.000 6.189" Properties=species:S:1:pos:R:3 pbc="T T T"
Ag 2.122 5.130 3.094
Ag 0.629 2.764 5.845
Ag 1.958 -2.764 2.750
Ag 3.451 -5.130 0.000
Pt 1.992 1.281 3.453
Pt 3.321 -1.281 0.359
S -0.126 1.188 2.537
S -1.455 -1.188 5.632
S 2.964 2.953 2.226
S 1.804 0.556 5.622
S 3.133 -0.556 2.527
S 1.635 -2.953 5.320
```

***

LiPrPbS3: relaxed, PBE.

Computed properties:
space group = Cmcm, No. 63
total magnetic moment = 0.0 μB/f.u.
calculated total energy = -61.18 eV/cell
crystal system = orthorhombic

extended XYZ file:
```
12
Lattice="2.044 -6.467 0.000 2.044 6.467 0.000 0.000 0.000 10.861" Properties=species:S:1:pos:R:3 pbc="T T T"
Li 2.044 6.197 8.146
Li 2.044 -6.197 2.715
Pr 2.044 0.000 0.000
Pr 2.044 0.000 5.430
Pb 2.044 3.142 2.715
Pb 2.044 -3.142 8.146
S 2.044 4.696 6.287
S 2.044 4.696 10.004
S 2.044 1.049 8.146
S 2.044 -1.049 2.715
S 2.044 -4.696 0.856
S 2.044 -4.696 4.574
```

***

NbCuAgB: relaxed, PBE.

Computed properties:
offset from the most stable computed form = 0.0000 eV/atom
space group = F-43m, No. 216
total magnetic moment = 0.0 μB/f.u.
calculated total energy = -20.74 eV/cell
crystal system = cubic

extended XYZ file:
```
4
Lattice="0.000 3.022 3.022 3.022 0.000 3.022 3.022 3.022 0.000" Properties=species:S:1:pos:R:3 pbc="T T T"
Nb 0.000 0.000 0.000
Cu 3.022 3.022 3.022
Ag 4.533 4.533 4.533
B 1.511 1.511 1.511
```

***

Mo4PC2S: relaxed, PBE.

Computed properties:
space group = P-6m2, No. 187
total magnetic moment = 0.0 μB/f.u.
calculated total energy = -72.46 eV/cell
crystal system = hexagonal

extended XYZ file:
```
8
Lattice="3.245 0.000 0.000 -1.623 2.811 0.000 0.000 0.000 11.446" Properties=species:S:1:pos:R:3 pbc="T T T"
Mo 0.000 0.000 1.669
Mo 0.000 0.000 9.776
Mo 1.623 0.937 3.813
Mo 1.623 0.937 7.633
P 1.623 0.937 0.000
C 0.000 1.874 2.889
C 0.000 1.874 8.557
S 0.000 0.000 5.723
```

***

CuAg3: relaxed, PBE.

Computed properties:
ΔH_f (0 K) = 66 meV per atom
space group = C2/m, No. 12
calculated total energy = -23.85 eV/cell
crystal system = monoclinic

extended XYZ file:
```
8
Lattice="4.742 -1.437 0.000 4.742 1.437 0.000 -1.908 0.000 9.623" Properties=species:S:1:pos:R:3 pbc="T T T"
Cu 0.795 0.000 1.779
Cu 6.779 0.000 7.845
Ag -0.043 0.000 6.691
Ag 3.471 0.000 0.552
Ag 2.506 0.000 5.496
Ag 5.069 0.000 4.128
Ag 4.104 0.000 9.072
Ag 7.617 0.000 2.933
```

***

BeIr2W: relaxed, PBE.

Computed properties:
space group = F-43m, No. 216
total magnetic moment = 0.1 μB/f.u.
calculated total energy = -33.69 eV/cell
crystal system = cubic

extended XYZ file:
```
4
Lattice="0.000 3.035 3.035 3.035 0.000 3.035 3.035 3.035 0.000" Properties=species:S:1:pos:R:3 pbc="T T T"
Be 0.000 0.000 0.000
Ir 3.035 3.035 3.035
Ir 4.552 4.552 4.552
W 1.517 1.517 1.517
```

***

Si2AgBi: relaxed, PBE.

Computed properties:
space group = F-43m, No. 216
calculated total energy = -15.32 eV/cell
crystal system = cubic

extended XYZ file:
```
4
Lattice="0.000 3.446 3.446 3.446 0.000 3.446 3.446 3.446 0.000" Properties=species:S:1:pos:R:3 pbc="T T T"
Si 0.000 0.000 0.000
Si 1.723 1.723 1.723
Ag 5.169 5.169 5.169
Bi 3.446 3.446 3.446
```

***

Pr5TlIn4: relaxed, PBE.

Computed properties:
space group = P4/mmm, No. 123
total magnetic moment = 0.0 μB/f.u.
calculated total energy = -41.95 eV/cell
crystal system = tetragonal

extended XYZ file:
```
10
Lattice="3.904 0.000 0.000 0.000 3.904 0.000 0.000 0.000 19.487" Properties=species:S:1:pos:R:3 pbc="T T T"
Pr 0.000 0.000 0.000
Pr 0.000 0.000 3.872
Pr 0.000 0.000 7.757
Pr 0.000 0.000 11.731
Pr 0.000 0.000 15.616
Tl 1.952 1.952 9.744
In 1.952 1.952 1.936
In 1.952 1.952 5.815
In 1.952 1.952 13.672
In 1.952 1.952 17.551
```

***

ZrMo: relaxed, PBE.

Computed properties:
offset from the most stable computed form = 0.4277 eV/atom
ΔH_f (0 K) = 436 meV per atom
space group = P-6m2, No. 187
total magnetic moment = 0.0 μB/f.u.
calculated total energy = -18.52 eV/cell
crystal system = hexagonal

extended XYZ file:
```
2
Lattice="3.009 0.000 0.000 -1.504 2.606 0.000 0.000 0.000 4.880" Properties=species:S:1:pos:R:3 pbc="T T T"
Zr 0.000 0.000 0.000
Mo 0.000 1.737 2.440
```

***

KGdNi: relaxed, PBE.

Computed properties:
space group = F-43m, No. 216
total magnetic moment = 0.0 μB/f.u.
calculated total energy = -7.09 eV/cell
crystal system = cubic

extended XYZ file:
```
3
Lattice="0.000 3.855 3.855 3.855 0.000 3.855 3.855 3.855 0.000" Properties=species:S:1:pos:R:3 pbc="T T T"
K 0.000 0.000 0.000
Gd 5.783 5.783 5.783
Ni 1.928 1.928 1.928
```

***

NiBr2: relaxed, PBE.

Computed properties:
space group = P4_2/mnm, No. 136
total magnetic moment = 0.1 μB/f.u.
calculated total energy = -19.29 eV/cell
crystal system = tetragonal

extended XYZ file:
```
6
Lattice="6.044 0.000 0.000 0.000 6.044 0.000 0.000 0.000 3.654" Properties=species:S:1:pos:R:3 pbc="T T T"
Ni 0.000 0.000 0.000
Ni 3.022 3.022 1.827
Br 1.141 1.141 1.827
Br 1.881 4.163 0.000
Br 4.163 1.881 0.000
Br 4.903 4.903 1.827
```

***

KRbAgP: relaxed, PBE.

Computed properties:
offset from the most stable computed form = 0.0024 eV/atom
space group = Ama2, No. 40
calculated total energy = -23.18 eV/cell
crystal system = orthorhombic

extended XYZ file:
```
8
Lattice="6.118 0.000 0.000 0.000 3.915 5.071 0.000 -3.915 5.071" Properties=species:S:1:pos:R:3 pbc="T T T"
K 1.529 -2.822 5.071
K 4.588 2.822 5.071
Rb 1.529 1.094 6.659
Rb 4.588 -1.094 6.659
Ag 0.000 0.000 3.333
Ag 3.059 0.000 3.333
P 1.529 1.945 3.297
P 4.588 -1.945 3.297
```

***

> Among the records above, which one has the highest calculated total energy?

KGdNi